[1]
Below is Sm5PuSb6 after structural relaxation, with properties calculated at the GGA-PBE level.

Structure (CIF):
```
data_Sm5PuSb6
_chemical_formula_sum 'Sm5 Pu1 Sb6'
_cell_length_a 7.733
_cell_length_b 7.735
_cell_length_c 7.733
_cell_angle_alpha 59.99
_cell_angle_beta 80.41
_cell_angle_gamma 70.53
_space_group_name_H-M_alt 'P 1'
_space_group_IT_number 1
_space_group_name_Hall 'P 1'
loop_
_atom_site_label
_atom_site_fract_x
_atom_site_fract_y
_atom_site_fract_z
_atom_site_occupancy
Sm1 0.500 0.168 0.665 1
Sm2 0.000 0.334 0.333 1
Sm3 0.500 0.500 0.000 1
Sm4 0.000 0.666 0.667 1
Sm5 0.500 0.832 0.335 1
Pu1 0.000 0.000 0.000 1
Sb1 0.752 0.083 0.331 1
Sb2 0.248 0.587 0.331 1
Sb3 0.249 0.247 0.000 1
Sb4 0.751 0.753 0.000 1
Sb5 0.752 0.413 0.669 1
Sb6 0.248 0.917 0.669 1
```

## Properties
The formation energy from raw total energies comes out at -103.7 kJ per mole of atoms.

---

[2]
Below is CsBaTa2 after structural relaxation, with properties calculated at the GGA-PBE level.

Structure (CIF):
```
data_CsBaTa2
_chemical_formula_sum 'Cs2 Ba2 Ta4'
_cell_length_a 9.360
_cell_length_b 9.360
_cell_length_c 7.261
_cell_angle_alpha 49.87
_cell_angle_beta 49.87
_cell_angle_gamma 90.00
_space_group_name_H-M_alt 'P 1'
_space_group_IT_number 1
_space_group_name_Hall 'P 1'
loop_
_atom_site_label
_atom_site_fract_x
_atom_site_fract_y
_atom_site_fract_z
_atom_site_occupancy
Cs1 0.500 0.500 0.000 1
Cs2 0.250 0.750 0.500 1
Ba1 0.000 0.000 0.000 1
Ba2 0.750 0.250 0.500 1
Ta1 0.620 0.125 0.250 1
Ta2 0.130 0.625 0.250 1
Ta3 0.375 0.380 0.750 1
Ta4 0.875 0.870 0.750 1
```

## Properties
The energy above the most stable polymorph in this dataset is 0.000 eV/f.u. Its formation enthalpy at 0 K is 2.192 eV per atom.

---

[3]
Below is CaNd3Y2Se6 after structural relaxation, with properties calculated at the GGA-PBE level.

Structure (CIF):
```
data_CaNd3Y2Se6
_chemical_formula_sum 'Ca1 Nd3 Y2 Se6'
_cell_length_a 7.179
_cell_length_b 7.179
_cell_length_c 7.316
_cell_angle_alpha 99.36
_cell_angle_beta 99.36
_cell_angle_gamma 120.03
_space_group_name_H-M_alt 'P 1'
_space_group_IT_number 1
_space_group_name_Hall 'P 1'
loop_
_atom_site_label
_atom_site_fract_x
_atom_site_fract_y
_atom_site_fract_z
_atom_site_occupancy
Ca1 0.000 0.000 0.000 1
Nd1 0.165 0.835 0.500 1
Nd2 0.835 0.165 0.500 1
Nd3 0.500 0.500 0.500 1
Y1 0.333 0.667 0.000 1
Y2 0.667 0.333 0.000 1
Se1 0.921 0.586 0.761 1
Se2 0.744 0.744 0.235 1
Se3 0.079 0.414 0.239 1
Se4 0.586 0.921 0.761 1
Se5 0.256 0.256 0.765 1
Se6 0.414 0.079 0.239 1
```

## Properties
The formation energy from raw total energies comes out at -177.4 kJ per mole of atoms.

---

E for the records above, in order: -6.296; -4.429; -6.017 eV/atom
Theoretical density for the records above, in order: 7.591; 8.025; 6.050 g/cm3